[1]
# ZrNb2TlPb, optimized geometry, DFT PBE
data_ZrNb2TlPb
_space_group_name_H-M_alt 'P 4/m m m'
_space_group_IT_number 123
_space_group_name_Hall '-P 4 2'
_cell_length_a 5.148
_cell_length_b 5.148
_cell_length_c 5.483
_cell_angle_alpha 90.00
_cell_angle_beta 90.00
_cell_angle_gamma 90.00
loop_
_atom_site_label
_atom_site_fract_x
_atom_site_fract_y
_atom_site_fract_z
_atom_site_occupancy
Zr1 0.000 0.000 0.000 1
Nb1 0.000 0.500 0.500 1
Tl1 0.500 0.500 0.500 1
Pb1 0.500 0.500 0.000 1
# E_form = 1747 meV/atom
# E = -26.03 eV per cell
# crystal system = tetragonal
# N(E_F) = 5.816 states/eV/f.u.

[2]
# Li4PuSi4, optimized geometry, DFT PBE
data_Li4PuSi4
_space_group_name_H-M_alt 'P 42/n m c'
_space_group_IT_number 137
_cell_length_a 5.896
_cell_length_b 5.896
_cell_length_c 8.571
_cell_angle_alpha 90.00
_cell_angle_beta 90.00
_cell_angle_gamma 90.00
loop_
_space_group_symop_operation_xyz
'x,y,z'
'-x,-y,-z'
'-y+1/2,x,z+1/2'
'y+1/2,-x,-z+1/2'
'-x+1/2,-y+1/2,z'
'x+1/2,y+1/2,-z'
'y,-x+1/2,z+1/2'
'-y,x+1/2,-z+1/2'
'x+1/2,-y,-z'
'-x+1/2,y,z'
'-y,-x,-z+1/2'
'y,x,z+1/2'
'-x,y+1/2,-z'
'x,-y+1/2,z'
'y+1/2,x+1/2,-z+1/2'
'-y+1/2,-x+1/2,z+1/2'
loop_
_atom_site_label
_atom_site_fract_x
_atom_site_fract_y
_atom_site_fract_z
_atom_site_occupancy
Li1 0.009 0.250 0.160 1
Pu1 0.250 0.750 0.250 1
Si1 0.050 0.250 0.458 1
# E_form (uncorrected) = -0.108 eV per atom
# E = -89.31 eV per cell
# crystal system = tetragonal
# N(E_F) = 15.769 states/eV/f.u.

[3]
# ZnIBr2, optimized geometry, DFT PBE
data_ZnIBr2
_space_group_name_H-M_alt 'I -4 2 d'
_space_group_IT_number 122
_space_group_name_Hall 'I -4 2bw'
_cell_length_a 7.742
_cell_length_b 7.742
_cell_length_c 9.724
_cell_angle_alpha 90.00
_cell_angle_beta 90.00
_cell_angle_gamma 90.00
loop_
_atom_site_label
_atom_site_fract_x
_atom_site_fract_y
_atom_site_fract_z
_atom_site_occupancy
Zn1 0.000 0.000 0.000 1
I1 0.000 0.000 0.500 1
Br1 0.119 0.250 0.125 1
# offset from the most stable computed form = 337 meV/atom
# E_form (uncorrected) = -0.299 eV per atom
# E = -29.47 eV per cell
# crystal system = tetragonal
# N(E_F) = 3.706 states/eV/f.u.

[4]
# Rb4Ce3InSe8, optimized geometry, DFT PBE
data_Rb4Ce3InSe8
_space_group_name_H-M_alt 'R -3 m'
_space_group_IT_number 166
_space_group_name_Hall '-R 3 2"'
_cell_length_a 8.7856
_cell_length_b 8.7856
_cell_length_c 23.7785
_cell_angle_alpha 90.00
_cell_angle_beta 90.00
_cell_angle_gamma 120.00
loop_
_atom_site_label
_atom_site_fract_x
_atom_site_fract_y
_atom_site_fract_z
_atom_site_occupancy
Rb1 0.0000 0.0000 0.0000 1
Rb2 0.0000 0.5000 0.0000 1
Ce1 0.0000 0.5000 0.5000 1
In1 0.0000 0.0000 0.5000 1
Se1 0.0000 0.0000 0.2331 1
Se2 0.0056 0.5028 0.7683 1
# E_form (uncorrected) = -1.459 eV per atom
# E = -226.89 eV per cell
# crystal system = trigonal
# N(E_F) = 16.572 states/eV/f.u.

[5]
# ZrNiBr2, optimized geometry, DFT PBE
data_ZrNiBr2
_space_group_name_H-M_alt 'C m m m'
_space_group_IT_number 65
_space_group_name_Hall '-C 2 2'
_cell_length_a 3.284
_cell_length_b 6.279
_cell_length_c 8.353
_cell_angle_alpha 90.00
_cell_angle_beta 90.00
_cell_angle_gamma 90.00
loop_
_atom_site_label
_atom_site_fract_x
_atom_site_fract_y
_atom_site_fract_z
_atom_site_occupancy
Zr1 0.000 0.000 0.000 1
Ni1 0.000 0.000 0.500 1
Br1 0.000 0.500 0.274 1
# offset from the most stable computed form = 735 meV/atom
# E_form (uncorrected) = 0.032 eV per atom
# E = -35.09 eV per cell
# crystal system = orthorhombic
# N(E_F) = 5.060 states/eV/f.u.

[6]
# LiFeH, optimized geometry, DFT PBE
data_LiFeH
_space_group_name_H-M_alt 'P m m n'
_space_group_IT_number 59
_cell_length_a 2.488
_cell_length_b 3.918
_cell_length_c 5.456
_cell_angle_alpha 90.00
_cell_angle_beta 90.00
_cell_angle_gamma 90.00
loop_
_space_group_symop_operation_xyz
'x,y,z'
'-x,-y,-z'
'-x+1/2,-y+1/2,z'
'x+1/2,y+1/2,-z'
'x+1/2,-y,-z'
'-x+1/2,y,z'
'-x,y+1/2,-z'
'x,-y+1/2,z'
loop_
_atom_site_label
_atom_site_fract_x
_atom_site_fract_y
_atom_site_fract_z
_atom_site_occupancy
Li1 0.250 0.250 0.136 1
Fe1 0.250 0.250 0.607 1
H1 0.250 0.750 0.160 1
# E = -27.81 eV per cell
# crystal system = orthorhombic
# N(E_F) = 1.265 states/eV/f.u.